Entry 1:
Below is an optimized crystal structure of ZnGe3As, with properties calculated at the GGA-PBE level.

Computed properties:
Mass density = 5.320 Mg/m³
DOS(E_F) = 0.422 states/eV per atom
M_tot = 0.00 μB/f.u.
Calculated volume = 111.8 Å³/f.u.
E_tot = -16.518 eV/cell

a b c (Å): 4.818 4.818 4.818
angles (deg): 90.00 90.00 90.00
Space group Pm-3m (No. 221)
One atom of each set of equivalent atoms:
Zn1 0.000 0.000 0.000
Ge1 0.000 0.000 0.500
As1 0.500 0.500 0.500

Entry 2:
Below is an optimized crystal structure of ZnGeAs2, with properties calculated at the GGA-PBE level.

Computed properties:
Mass density = 5.085 Mg/m³
DOS(E_F) = 0.097 states/eV per atom
M_tot = 0.00 μB/f.u.
Calculated volume = 94.0 Å³/f.u.
E_tot = -15.756 eV/cell

a b c (Å): 4.044 4.044 5.748
angles (deg): 90.00 90.00 90.00
Space group P-4m2 (No. 115)
One atom of each set of equivalent atoms:
Zn1 0.000 0.000 0.000
Ge1 0.500 0.500 0.500
As1 0.000 0.500 0.757

Entry 3:
Below is an optimized crystal structure of ZnGe2As, with properties calculated at the GGA-PBE level.

Computed properties:
Mass density = 4.926 Mg/m³
DOS(E_F) = 0.370 states/eV per atom
M_tot = 0.00 μB/f.u.
Calculated volume = 96.3 Å³/f.u.
E_tot = -58.895 eV/cell

a b c (Å): 5.860 5.860 11.216
angles (deg): 90.00 90.00 90.00
Space group I-42d (No. 122)
One atom of each set of equivalent atoms:
Zn1 0.000 0.000 0.000
Ge1 0.245 0.250 0.125
As1 0.000 0.000 0.500

Entry 4:
Below is an optimized crystal structure of Zn2Ge2As, with properties calculated at the GGA-PBE level.

Computed properties:
Mass density = 6.315 Mg/m³
DOS(E_F) = 0.541 states/eV per atom
M_tot = 0.00 μB/f.u.
Calculated volume = 92.3 Å³/f.u.
E_tot = -30.435 eV/cell

a b c (Å): 7.804 7.804 3.031
angles (deg): 90.00 90.00 90.00
Space group P4/mbm (No. 127)
One atom of each set of equivalent atoms:
Zn1 0.116 0.384 0.000
Ge1 0.188 0.688 0.500
As1 0.000 0.000 0.500

Entry 5:
Below is an optimized crystal structure of Zn2GeAs, with properties calculated at the GGA-PBE level.

Computed properties:
Mass density = 5.088 Mg/m³
DOS(E_F) = 0.463 states/eV per atom
M_tot = 0.00 μB/f.u.
Calculated volume = 90.9 Å³/f.u.
E_tot = -43.431 eV/cell

a b c (Å): 6.215 6.215 9.409
angles (deg): 90.00 90.00 90.00
Space group I-42d (No. 122)
One atom of each set of equivalent atoms:
Zn1 0.235 0.250 0.125
Ge1 0.000 0.000 0.500
As1 0.000 0.000 0.000

Entry 6:
Below is an optimized crystal structure of ZnGe2As, with properties calculated at the GGA-PBE level.

Computed properties:
Mass density = 6.279 Mg/m³
DOS(E_F) = 0.498 states/eV per atom
M_tot = 0.00 μB/f.u.
Calculated volume = 75.5 Å³/f.u.
E_tot = -55.331 eV/cell

a b c (Å): 6.710 6.710 6.710
angles (deg): 90.00 90.00 90.00
Space group Fm-3m (No. 225)
One atom of each set of equivalent atoms:
Zn1 0.000 0.000 0.000
Ge1 0.250 0.250 0.250
As1 0.000 0.000 0.500

Entry 7:
Below is an optimized crystal structure of ZnGe2As2, with properties calculated at the GGA-PBE level.

Computed properties:
Mass density = 6.001 Mg/m³
DOS(E_F) = 0.529 states/eV per atom
M_tot = 0.00 μB/f.u.
Calculated volume = 99.8 Å³/f.u.
E_tot = -36.952 eV/cell

a b c (Å): 7.422 7.422 3.622
angles (deg): 90.00 90.00 90.00
Space group P4/mbm (No. 127)
One atom of each set of equivalent atoms:
Zn1 0.000 0.000 0.000
Ge1 0.144 0.356 0.500
As1 0.173 0.673 0.000

Entry 8:
Below is an optimized crystal structure of ZnGeAs2, with properties calculated at the GGA-PBE level.

Computed properties:
Mass density = 6.369 Mg/m³
DOS(E_F) = 0.524 states/eV per atom
M_tot = 0.00 μB/f.u.
Calculated volume = 75.1 Å³/f.u.
E_tot = -56.002 eV/cell

a b c (Å): 6.696 6.696 6.696
angles (deg): 90.00 90.00 90.00
Space group Fm-3m (No. 225)
One atom of each set of equivalent atoms:
Zn1 0.000 0.000 0.000
Ge1 0.000 0.000 0.500
As1 0.250 0.250 0.250

Entry 9:
Below is an optimized crystal structure of ZnGe2As2, with properties calculated at the GGA-PBE level.

Computed properties:
Mass density = 6.056 Mg/m³
DOS(E_F) = 0.369 states/eV per atom
M_tot = 0.00 μB/f.u.
Calculated volume = 98.9 Å³/f.u.
E_tot = -36.549 eV/cell

a b c (Å): 7.563 7.563 3.456
angles (deg): 90.00 90.00 90.00
Space group P4/mbm (No. 127)
One atom of each set of equivalent atoms:
Zn1 0.000 0.000 0.000
Ge1 0.144 0.356 0.000
As1 0.152 0.652 0.500

Entry 10:
Below is an optimized crystal structure of Zn2Ge2As, with properties calculated at the GGA-PBE level.

Computed properties:
Mass density = 6.066 Mg/m³
DOS(E_F) = 0.545 states/eV per atom
M_tot = 0.00 μB/f.u.
Calculated volume = 96.1 Å³/f.u.
E_tot = -29.417 eV/cell

a b c (Å): 4.208 4.208 10.854
angles (deg): 90.00 90.00 90.00
Space group I4/mmm (No. 139)
One atom of each set of equivalent atoms:
Zn1 0.000 0.500 0.250
Ge1 0.000 0.000 0.110
As1 0.000 0.000 0.500

Entry 11:
Below is an optimized crystal structure of ZnGeAs2, with properties calculated at the GGA-PBE level.

Computed properties:
Mass density = 5.035 Mg/m³
DOS(E_F) = 0.249 states/eV per atom
M_tot = 0.00 μB/f.u.
Calculated volume = 94.9 Å³/f.u.
E_tot = -46.870 eV/cell

a b c (Å): 4.0776 4.0776 19.7814
angles (deg): 90.00 90.00 120.00
Space group R3m (No. 160, hexagonal axes)
One atom of each set of equivalent atoms:
Zn1 0.0000 0.0000 0.0000
Ge1 0.0000 0.0000 0.4849
As1 0.0000 0.0000 0.3623
As2 0.0000 0.0000 0.8702

Entry 12:
Below is an optimized crystal structure of ZnGeAs2, with properties calculated at the GGA-PBE level.

Computed properties:
Mass density = 5.085 Mg/m³
DOS(E_F) = 0.000 states/eV per atom
M_tot = 0.00 μB/f.u.
Calculated volume = 94.0 Å³/f.u.
E_tot = -63.435 eV/cell

a b c (Å): 5.753 5.753 11.362
angles (deg): 90.00 90.00 90.00
Space group I-42d (No. 122)
One atom of each set of equivalent atoms:
Zn1 0.000 0.000 0.000
Ge1 0.000 0.000 0.500
As1 0.250 0.250 0.125